# TlCu2C

TlCu2C at its PBEsol-relaxed geometry (SCAN, Alexandria).

Computed properties:
calculated formation energy: 1523 meV per atom
symmetry: Fm-3m

Cell: 4.2439 4.2439 4.2439 Å, 60.00 60.00 60.00°
With the nearest neighbours (Å) after each atom.
Fractional positions:
C 0.0000 0.0000 0.0000  8 Cu 2.60
Tl 0.5000 0.5000 0.5000  8 Cu 2.60
Cu 0.2500 0.2500 0.2500  4 C 2.60, 4 Tl 2.60
Cu 0.7500 0.7500 0.7500  4 Tl 2.60, 4 C 2.60